[1]
## SrMgCd2 (PBE-GGA)

Data for an optimized crystal structure of SrMgCd2.

Summary:
The value obtained for the formation energy is -0.66 eV per formula unit. As for the crystal system: tetragonal. The value obtained for the raw total energy is -1.443 eV/atom.

Structure (CIF):
```
data_SrMgCd2
_chemical_formula_sum 'Sr2 Mg2 Cd4'
_space_group_name_H-M_alt 'I -4 m 2'
_space_group_IT_number 119
_space_group_name_Hall 'I -4 -2'
_cell_length_a 5.275
_cell_length_b 5.275
_cell_length_c 7.559
_cell_angle_alpha 90.00
_cell_angle_beta 90.00
_cell_angle_gamma 90.00
loop_
_atom_site_label
_atom_site_fract_x
_atom_site_fract_y
_atom_site_fract_z
Sr1 0.000 0.000 0.000
Mg1 0.000 0.500 0.250
Cd1 0.000 0.000 0.500
Cd2 0.000 0.500 0.750
```


[2]
## Sr8Mg2Cd (PBE-GGA)

Data for an optimized crystal structure of Sr8Mg2Cd.

Summary:
The energy above the most stable polymorph in this dataset is 44 meV per atom. The value obtained for the formation energy is -0.06 eV per formula unit. As for the crystal system: orthorhombic. The value obtained for the raw total energy is -1.602 eV/atom.

Structure (CIF):
```
data_Sr8Mg2Cd
_chemical_formula_sum 'Sr16 Mg4 Cd2'
_space_group_name_H-M_alt 'I m m m'
_space_group_IT_number 71
_space_group_name_Hall '-I 2 2'
_cell_length_a 5.898
_cell_length_b 10.146
_cell_length_c 16.234
_cell_angle_alpha 90.00
_cell_angle_beta 90.00
_cell_angle_gamma 90.00
loop_
_atom_site_label
_atom_site_fract_x
_atom_site_fract_y
_atom_site_fract_z
Sr1 0.000 0.000 0.132
Sr2 0.000 0.218 0.342
Sr3 0.000 0.320 0.000
Mg1 0.000 0.500 0.199
Cd1 0.000 0.500 0.500
```


[3]
## Sr2MgCd2 (PBE-GGA)

Data for an optimized crystal structure of Sr2MgCd2.

Summary:
The energy above the most stable polymorph in this dataset is 177 meV per atom. The value obtained for the formation energy is -0.41 eV per formula unit. As for the crystal system: tetragonal. The value obtained for the raw total energy is -1.440 eV/atom.

Structure (CIF):
```
data_Sr2MgCd2
_chemical_formula_sum 'Sr4 Mg2 Cd4'
_space_group_name_H-M_alt 'I 4/m m m'
_space_group_IT_number 139
_space_group_name_Hall '-I 4 2'
_cell_length_a 6.491
_cell_length_b 6.491
_cell_length_c 8.535
_cell_angle_alpha 90.00
_cell_angle_beta 90.00
_cell_angle_gamma 90.00
loop_
_atom_site_label
_atom_site_fract_x
_atom_site_fract_y
_atom_site_fract_z
Sr1 0.000 0.500 0.250
Mg1 0.000 0.000 0.000
Cd1 0.000 0.000 0.341
```


[4]
## SrMg2Cd5 (PBE-GGA)

Data for an optimized crystal structure of SrMg2Cd5.

Summary:
The value obtained for the formation energy is -1.09 eV per formula unit. As for the crystal system: orthorhombic. The value obtained for the raw total energy is -1.317 eV/atom.

Structure (CIF):
```
data_SrMg2Cd5
_chemical_formula_sum 'Sr2 Mg4 Cd10'
_space_group_name_H-M_alt 'I m m m'
_space_group_IT_number 71
_space_group_name_Hall '-I 2 2'
_cell_length_a 4.364
_cell_length_b 8.086
_cell_length_c 11.743
_cell_angle_alpha 90.00
_cell_angle_beta 90.00
_cell_angle_gamma 90.00
loop_
_atom_site_label
_atom_site_fract_x
_atom_site_fract_y
_atom_site_fract_z
Sr1 0.000 0.000 0.000
Mg1 0.000 0.500 0.249
Cd1 0.000 0.194 0.369
Cd2 0.000 0.500 0.000
```


[5]
## SrMgCd11 (PBE-GGA)

Data for an optimized crystal structure of SrMgCd11.

Summary:
The value obtained for the formation energy is -1.73 eV per formula unit. As for the crystal system: monoclinic. The value obtained for the raw total energy is -1.160 eV/atom.

Structure (CIF):
```
data_SrMgCd11
_chemical_formula_sum 'Sr2 Mg2 Cd22'
_space_group_name_H-M_alt 'C 1 2/m 1'
_space_group_IT_number 12
_cell_length_a 5.990
_cell_length_b 14.299
_cell_length_c 7.773
_cell_angle_alpha 90.00
_cell_angle_beta 112.47
_cell_angle_gamma 90.00
loop_
_space_group_symop_operation_xyz
'x,y,z'
'-x,-y,-z'
'-x,y,-z'
'x,-y,z'
'x+1/2,y+1/2,z'
'-x+1/2,-y+1/2,-z'
'-x+1/2,y+1/2,-z'
'x+1/2,-y+1/2,z'
loop_
_atom_site_label
_atom_site_fract_x
_atom_site_fract_y
_atom_site_fract_z
Sr1 0.000 0.000 0.000
Mg1 0.000 0.500 0.500
Cd1 0.000 0.000 0.500
Cd2 0.104 0.392 0.217
Cd3 0.181 0.176 0.355
Cd4 0.250 0.250 0.000
```


[6]
## Sr4MgCd3 (PBE-GGA)

Data for an optimized crystal structure of Sr4MgCd3.

Summary:
The energy above the most stable polymorph in this dataset is 0 meV per atom. The value obtained for the formation energy is -2.09 eV per formula unit. As for the crystal system: orthorhombic. The value obtained for the raw total energy is -1.644 eV/atom.

Structure (CIF):
```
data_Sr4MgCd3
_chemical_formula_sum 'Sr4 Mg1 Cd3'
_space_group_name_H-M_alt 'P m m m'
_space_group_IT_number 47
_cell_length_a 4.014
_cell_length_b 5.829
_cell_length_c 11.661
_cell_angle_alpha 90.00
_cell_angle_beta 90.00
_cell_angle_gamma 90.00
loop_
_space_group_symop_operation_xyz
'x,y,z'
'-x,-y,-z'
'-x,-y,z'
'x,y,-z'
'x,-y,-z'
'-x,y,z'
'-x,y,-z'
'x,-y,z'
loop_
_atom_site_label
_atom_site_fract_x
_atom_site_fract_y
_atom_site_fract_z
Sr1 0.000 0.000 0.000
Sr2 0.000 0.000 0.500
Sr3 0.000 0.500 0.244
Mg1 0.500 0.500 0.500
Cd1 0.500 0.000 0.254
Cd2 0.500 0.500 0.000
```


[7]
## Sr2MgCd (PBE-GGA)

Data for an optimized crystal structure of Sr2MgCd.

Summary:
The energy above the most stable polymorph in this dataset is 235 meV per atom. The value obtained for the formation energy is 0.17 eV per formula unit. As for the crystal system: tetragonal. The value obtained for the raw total energy is -1.425 eV/atom.

Structure (CIF):
```
data_Sr2MgCd
_chemical_formula_sum 'Sr4 Mg2 Cd2'
_space_group_name_H-M_alt 'I 4/m m m'
_space_group_IT_number 139
_space_group_name_Hall '-I 4 2'
_cell_length_a 4.085
_cell_length_b 4.085
_cell_length_c 19.358
_cell_angle_alpha 90.00
_cell_angle_beta 90.00
_cell_angle_gamma 90.00
loop_
_atom_site_label
_atom_site_fract_x
_atom_site_fract_y
_atom_site_fract_z
Sr1 0.000 0.000 0.167
Mg1 0.000 0.000 0.500
Cd1 0.000 0.000 0.000
```


[8]
## SrMgCd (PBE-GGA)

Data for an optimized crystal structure of SrMgCd.

Summary:
The value obtained for the formation energy is -0.75 eV per formula unit. As for the crystal system: tetragonal. The value obtained for the raw total energy is -1.647 eV/atom.

Structure (CIF):
```
data_SrMgCd
_chemical_formula_sum 'Sr2 Mg2 Cd2'
_space_group_name_H-M_alt 'P 4/n m m'
_space_group_IT_number 129
_cell_length_a 4.749
_cell_length_b 4.749
_cell_length_c 8.301
_cell_angle_alpha 90.00
_cell_angle_beta 90.00
_cell_angle_gamma 90.00
loop_
_space_group_symop_operation_xyz
'x,y,z'
'-x,-y,-z'
'-y+1/2,x,z'
'y+1/2,-x,-z'
'-x+1/2,-y+1/2,z'
'x+1/2,y+1/2,-z'
'y,-x+1/2,z'
'-y,x+1/2,-z'
'x+1/2,-y,-z'
'-x+1/2,y,z'
'-y,-x,-z'
'y,x,z'
'-x,y+1/2,-z'
'x,-y+1/2,z'
'y+1/2,x+1/2,-z'
'-y+1/2,-x+1/2,z'
loop_
_atom_site_label
_atom_site_fract_x
_atom_site_fract_y
_atom_site_fract_z
Sr1 0.250 0.250 0.157
Mg1 0.250 0.750 0.500
Cd1 0.250 0.250 0.726
```


[9]
## Sr3Mg4Cd2 (PBE-GGA)

Data for an optimized crystal structure of Sr3Mg4Cd2.

Summary:
The value obtained for the formation energy is -1.31 eV per formula unit. As for the crystal system: monoclinic. The value obtained for the raw total energy is -1.618 eV/atom.

Structure (CIF):
```
data_Sr3Mg4Cd2
_chemical_formula_sum 'Sr6 Mg8 Cd4'
_space_group_name_H-M_alt 'C 1 2/m 1'
_space_group_IT_number 12
_cell_length_a 11.810
_cell_length_b 5.343
_cell_length_c 9.890
_cell_angle_alpha 90.00
_cell_angle_beta 115.90
_cell_angle_gamma 90.00
loop_
_space_group_symop_operation_xyz
'x,y,z'
'-x,-y,-z'
'-x,y,-z'
'x,-y,z'
'x+1/2,y+1/2,z'
'-x+1/2,-y+1/2,-z'
'-x+1/2,y+1/2,-z'
'x+1/2,-y+1/2,z'
loop_
_atom_site_label
_atom_site_fract_x
_atom_site_fract_y
_atom_site_fract_z
Sr1 0.000 0.000 0.000
Sr2 0.188 0.500 0.633
Mg1 0.002 0.000 0.347
Mg2 0.213 0.500 0.053
Cd1 0.062 0.500 0.242
```


[10]
## Sr2MgCd (PBE-GGA)

Data for an optimized crystal structure of Sr2MgCd.

Summary:
The energy above the most stable polymorph in this dataset is 132 meV per atom. The value obtained for the formation energy is -0.24 eV per formula unit. As for the crystal system: cubic. The value obtained for the raw total energy is -1.528 eV/atom.

Structure (CIF):
```
data_Sr2MgCd
_chemical_formula_sum 'Sr8 Mg4 Cd4'
_space_group_name_H-M_alt 'F -4 3 m'
_space_group_IT_number 216
_space_group_name_Hall 'F -4 2 3'
_cell_length_a 7.988
_cell_length_b 7.988
_cell_length_c 7.988
_cell_angle_alpha 90.00
_cell_angle_beta 90.00
_cell_angle_gamma 90.00
loop_
_atom_site_label
_atom_site_fract_x
_atom_site_fract_y
_atom_site_fract_z
Sr1 0.000 0.000 0.000
Sr2 0.250 0.250 0.250
Mg1 0.000 0.000 0.500
Cd1 0.250 0.250 0.750
```


no.,D(E_F) (states/eV/atom)
1,0.408
2,1.176
3,0.275
4,0.512
5,0.381
6,0.820
7,0.843
8,0.632
9,0.749
10,0.512